## AlNiW2 (GGA-PBE)

Data for crystalline AlNiW2 at its relaxed geometry.

Values from the calculation:
symmetry	No. 99
raw total energy	-35.4	eV for the cell shown

a = 3.202 Å, b = 3.202 Å, c = 5.754 Å
α = 90.00°, β = 90.00°, γ = 90.00°
Fractional coordinates of all 4 atoms:
1 Al 0.000 0.000 0.000
2 Ni 0.500 0.500 0.217
3 W 0.000 0.000 0.490
4 W 0.500 0.500 0.725

***

## Al2NiW (GGA-PBE)

Data for crystalline Al2NiW at its relaxed geometry.

Values from the calculation:
symmetry	No. 139
raw total energy	-26.5	eV for the cell shown

a = 4.653 Å, b = 4.653 Å, c = 4.653 Å
α = 131.03°, β = 131.03°, γ = 71.76°
Fractional coordinates of all 4 atoms:
1 Al 0.250 0.750 0.500
2 Al 0.750 0.250 0.500
3 Ni 0.000 0.000 0.000
4 W 0.500 0.500 0.000

***

## Al2NiW (GGA-PBE)

Data for crystalline Al2NiW at its relaxed geometry.

Values from the calculation:
symmetry	No. 225
raw total energy	-26.4	eV for the cell shown

a = 4.289 Å, b = 4.289 Å, c = 4.289 Å
α = 60.00°, β = 60.00°, γ = 60.00°
Fractional coordinates of all 4 atoms:
1 Al 0.250 0.250 0.250
2 Al 0.750 0.750 0.750
3 Ni 0.000 0.000 0.000
4 W 0.500 0.500 0.500

***

## AlNiW2 (GGA-PBE)

Data for crystalline AlNiW2 at its relaxed geometry.

Values from the calculation:
symmetry	No. 123
raw total energy	-34.5	eV for the cell shown

a = 4.609 Å, b = 4.609 Å, c = 2.716 Å
α = 90.00°, β = 90.00°, γ = 90.00°
Fractional coordinates of all 4 atoms:
1 Al 0.000 0.000 0.000
2 Ni 0.500 0.500 0.000
3 W 0.000 0.500 0.500
4 W 0.500 0.000 0.500

***

## AlNiW2 (GGA-PBE)

Data for crystalline AlNiW2 at its relaxed geometry.

Values from the calculation:
symmetry	No. 119
raw total energy	-35.2	eV for the cell shown

a = 4.799 Å, b = 4.799 Å, c = 4.799 Å
α = 132.96°, β = 132.96°, γ = 68.72°
Fractional coordinates of all 4 atoms:
1 Al 0.000 0.000 0.000
2 Ni 0.250 0.750 0.500
3 W 0.500 0.500 0.000
4 W 0.750 0.250 0.500

***

## Al2NiW (GGA-PBE)

Data for crystalline Al2NiW at its relaxed geometry.

Values from the calculation:
symmetry	No. 123
raw total energy	-27.4	eV for the cell shown

a = 2.724 Å, b = 2.724 Å, c = 7.452 Å
α = 90.00°, β = 90.00°, γ = 90.00°
Fractional coordinates of all 4 atoms:
1 Al 0.000 0.000 0.218
2 Al 0.000 0.000 0.782
3 Ni 0.500 0.500 0.000
4 W 0.500 0.500 0.500

***

## AlNiW2 (GGA-PBE)

Data for crystalline AlNiW2 at its relaxed geometry.

Values from the calculation:
symmetry	No. 35
raw total energy	-35.7	eV for the cell shown

a = 2.690 Å, b = 2.690 Å, c = 8.226 Å
α = 90.00°, β = 90.00°, γ = 103.75°
Fractional coordinates of all 4 atoms:
1 Al 0.000 0.000 0.000
2 Ni 0.500 0.500 0.216
3 W 0.000 0.000 0.456
4 W 0.500 0.500 0.733

***

## AlNiW2 (GGA-PBE)

Data for crystalline AlNiW2 at its relaxed geometry.

Values from the calculation:
symmetry	No. 10
raw total energy	-35.4	eV for the cell shown

a = 2.694 Å, b = 4.154 Å, c = 5.252 Å
α = 90.00°, β = 98.68°, γ = 90.00°
Fractional coordinates of all 4 atoms:
1 Al 0.000 0.000 0.000
2 Ni 0.000 0.000 0.500
3 W 0.480 0.500 0.747
4 W 0.520 0.500 0.253

***

## AlNiW2 (GGA-PBE)

Data for crystalline AlNiW2 at its relaxed geometry.

Values from the calculation:
symmetry	No. 71
raw total energy	-35.7	eV for the cell shown

a = 4.938 Å, b = 4.938 Å, c = 4.938 Å
α = 138.16°, β = 133.09°, γ = 64.65°
Fractional coordinates of all 4 atoms:
1 Al 0.000 0.000 0.000
2 Ni 0.500 0.500 0.000
3 W 0.252 0.752 0.500
4 W 0.748 0.248 0.500

***

## Al4Ni15W (GGA-PBE)

Data for crystalline Al4Ni15W at its relaxed geometry.

Values from the calculation:
symmetry	No. 123
raw total energy	-122.2	eV for the cell shown

a = 3.588 Å, b = 3.588 Å, c = 17.811 Å
α = 90.00°, β = 90.00°, γ = 90.00°
Fractional coordinates of all 20 atoms:
1 Al 0.000 0.000 0.099
2 Al 0.000 0.000 0.295
3 Al 0.000 0.000 0.705
4 Al 0.000 0.000 0.901
5 Ni 0.000 0.500 0.000
6 Ni 0.000 0.500 0.199
7 Ni 0.000 0.500 0.400
8 Ni 0.000 0.500 0.600
9 Ni 0.000 0.500 0.801
10 Ni 0.500 0.000 0.000
11 Ni 0.500 0.000 0.199
12 Ni 0.500 0.000 0.400
13 Ni 0.500 0.000 0.600
14 Ni 0.500 0.000 0.801
15 Ni 0.500 0.500 0.100
16 Ni 0.500 0.500 0.299
17 Ni 0.500 0.500 0.500
18 Ni 0.500 0.500 0.701
19 Ni 0.500 0.500 0.900
20 W 0.000 0.000 0.500

***

## Al2Ni2W (GGA-PBE)

Data for crystalline Al2Ni2W at its relaxed geometry.

Values from the calculation:
symmetry	No. 127
raw total energy	-66.7	eV for the cell shown

a = 7.021 Å, b = 7.021 Å, c = 2.654 Å
α = 90.00°, β = 90.00°, γ = 90.00°
Fractional coordinates of all 10 atoms:
1 Al 0.167 0.333 0.000
2 Al 0.333 0.833 0.000
3 Al 0.667 0.167 0.000
4 Al 0.833 0.667 0.000
5 Ni 0.129 0.629 0.500
6 Ni 0.371 0.129 0.500
7 Ni 0.629 0.871 0.500
8 Ni 0.871 0.371 0.500
9 W 0.000 0.000 0.500
10 W 0.500 0.500 0.500

***

## Al3Ni12W (GGA-PBE)

Data for crystalline Al3Ni12W at its relaxed geometry.

Values from the calculation:
symmetry	No. 123
raw total energy	-99.4	eV for the cell shown

a = 3.594 Å, b = 3.594 Å, c = 14.235 Å
α = 90.00°, β = 90.00°, γ = 90.00°
Fractional coordinates of all 16 atoms:
1 Al 0.000 0.000 0.000
2 Al 0.000 0.000 0.243
3 Al 0.000 0.000 0.757
4 Ni 0.000 0.500 0.124
5 Ni 0.000 0.500 0.375
6 Ni 0.000 0.500 0.625
7 Ni 0.000 0.500 0.876
8 Ni 0.500 0.000 0.124
9 Ni 0.500 0.000 0.375
10 Ni 0.500 0.000 0.625
11 Ni 0.500 0.000 0.876
12 Ni 0.500 0.500 0.000
13 Ni 0.500 0.500 0.249
14 Ni 0.500 0.500 0.500
15 Ni 0.500 0.500 0.751
16 W 0.000 0.000 0.500

***

Per-record energy relative to the elements, meV per atom: 10; -74; -33; 225; 60; -290; -75; 14; -65; -377; -266; -366